Record 1
The following is a GGA-PBE calculation of a relaxed structure of Sb2TeWCl, from Alexandria. Values from VASP.

## Properties
space-group type	P4/mmm, No. 123
energy above the most stable polymorph in this dataset	0.0	meV/atom

Structure (Quantum ESPRESSO input):
```
&SYSTEM
  ibrav = 0, nat = 5, ntyp = 4
/
ATOMIC_SPECIES
Sb 121.76 Sb.upf
Te 127.60 Te.upf
W 183.84 W.upf
Cl 35.45 Cl.upf
CELL_PARAMETERS angstrom
-4.647 1.158 -2.232
-0.760 -5.117 -1.072
-2.364 -0.613 4.604
ATOMIC_POSITIONS crystal
Sb 0.000 0.500 0.000
Sb 0.500 0.000 0.000
Te 0.000 0.000 0.500
W 0.000 0.000 0.000
Cl 0.500 0.500 0.500
```

Record 2
The following is a GGA-PBE calculation of a relaxed structure of YSb2TeCl, from Alexandria. Values from VASP.

## Properties
space-group type	P4/mmm, No. 123
energy above the most stable polymorph in this dataset	44.6	meV/atom

Structure (Quantum ESPRESSO input):
```
&SYSTEM
  ibrav = 0, nat = 5, ntyp = 4
/
ATOMIC_SPECIES
Y 88.91 Y.upf
Sb 121.76 Sb.upf
Te 127.60 Te.upf
Cl 35.45 Cl.upf
CELL_PARAMETERS angstrom
5.241 0.000 0.000
0.000 5.241 0.000
0.000 0.000 5.464
ATOMIC_POSITIONS crystal
Y 0.500 0.500 0.500
Sb 0.000 0.500 0.000
Sb 0.500 0.000 0.000
Te 0.000 0.000 0.500
Cl 0.000 0.000 0.000
```

Record 3
The following is a GGA-PBE calculation of a relaxed structure of YSbTe2Cl, from Alexandria. Values from VASP.

## Properties
space-group type	P4/mmm, No. 123
energy above the most stable polymorph in this dataset	121.9	meV/atom

Structure (Quantum ESPRESSO input):
```
&SYSTEM
  ibrav = 0, nat = 5, ntyp = 4
/
ATOMIC_SPECIES
Y 88.91 Y.upf
Sb 121.76 Sb.upf
Te 127.60 Te.upf
Cl 35.45 Cl.upf
CELL_PARAMETERS angstrom
5.474 0.000 0.000
0.000 5.474 0.000
0.000 0.000 5.113
ATOMIC_POSITIONS crystal
Y 0.500 0.500 0.500
Sb 0.000 0.000 0.500
Te 0.000 0.500 0.000
Te 0.500 0.000 0.000
Cl 0.000 0.000 0.000
```

Record 4
The following is a GGA-PBE calculation of a relaxed structure of YSbTe2Cl, from Alexandria. Values from VASP.

## Properties
space-group type	P4/mmm, No. 123
energy above the most stable polymorph in this dataset	0.0	meV/atom

Structure (Quantum ESPRESSO input):
```
&SYSTEM
  ibrav = 0, nat = 5, ntyp = 4
/
ATOMIC_SPECIES
Y 88.91 Y.upf
Sb 121.76 Sb.upf
Te 127.60 Te.upf
Cl 35.45 Cl.upf
CELL_PARAMETERS angstrom
-1.645 -2.955 -4.638
-3.143 -3.467 3.324
-4.701 3.639 -0.651
ATOMIC_POSITIONS crystal
Y 0.000 0.000 0.000
Sb 0.000 0.000 0.500
Te 0.000 0.500 0.000
Te 0.500 0.000 0.000
Cl 0.500 0.500 0.500
```

Record 5
The following is a GGA-PBE calculation of a relaxed structure of YSb2TeCl, from Alexandria. Values from VASP.

## Properties
space-group type	P4/mmm, No. 123
energy above the most stable polymorph in this dataset	0.0	meV/atom

Structure (Quantum ESPRESSO input):
```
&SYSTEM
  ibrav = 0, nat = 5, ntyp = 4
/
ATOMIC_SPECIES
Y 88.91 Y.upf
Sb 121.76 Sb.upf
Te 127.60 Te.upf
Cl 35.45 Cl.upf
CELL_PARAMETERS angstrom
5.847 0.000 0.000
0.000 5.847 0.000
0.000 0.000 5.681
ATOMIC_POSITIONS crystal
Y 0.000 0.000 0.000
Sb 0.000 0.500 0.000
Sb 0.500 0.000 0.000
Te 0.000 0.000 0.500
Cl 0.500 0.500 0.500
```

Record 6
The following is a GGA-PBE calculation of a relaxed structure of ZrSb2TeCl, from Alexandria. Values from VASP.

## Properties
space-group type	P4/mmm, No. 123
energy above the most stable polymorph in this dataset	651.4	meV/atom

Structure (Quantum ESPRESSO input):
```
&SYSTEM
  ibrav = 0, nat = 5, ntyp = 4
/
ATOMIC_SPECIES
Sb 121.76 Sb.upf
Te 127.60 Te.upf
Zr 91.22 Zr.upf
Cl 35.45 Cl.upf
CELL_PARAMETERS angstrom
5.132 0.000 0.000
0.000 5.132 0.000
0.000 0.000 5.406
ATOMIC_POSITIONS crystal
Sb 0.000 0.500 0.000
Sb 0.500 0.000 0.000
Te 0.000 0.000 0.500
Zr 0.500 0.500 0.500
Cl 0.000 0.000 0.000
```

Record 7
The following is a GGA-PBE calculation of a relaxed structure of ZrSb2TeCl, from Alexandria. Values from VASP.

## Properties
space-group type	P4/mmm, No. 123
energy above the most stable polymorph in this dataset	0.0	meV/atom

Structure (Quantum ESPRESSO input):
```
&SYSTEM
  ibrav = 0, nat = 5, ntyp = 4
/
ATOMIC_SPECIES
Sb 121.76 Sb.upf
Te 127.60 Te.upf
Zr 91.22 Zr.upf
Cl 35.45 Cl.upf
CELL_PARAMETERS angstrom
-0.853 5.175 1.897
-5.482 -0.997 0.257
0.566 -1.788 5.131
ATOMIC_POSITIONS crystal
Sb 0.000 0.500 0.000
Sb 0.500 0.000 0.000
Te 0.000 0.000 0.500
Zr 0.000 0.000 0.000
Cl 0.500 0.500 0.500
```

Record 8
The following is a GGA-PBE calculation of a relaxed structure of ThSbCl, from Alexandria. Values from VASP.

## Properties
space-group type	P-6m2, No. 187
energy above the most stable polymorph in this dataset	37.7	meV/atom

Structure (Quantum ESPRESSO input):
```
&SYSTEM
  ibrav = 0, nat = 3, ntyp = 3
/
ATOMIC_SPECIES
Sb 121.76 Sb.upf
Th 232.04 Th.upf
Cl 35.45 Cl.upf
CELL_PARAMETERS angstrom
-1.350 -2.752 -2.792
4.337 -0.032 -2.066
-1.000 -3.096 3.534
ATOMIC_POSITIONS crystal
Sb 0.667 0.667 0.333
Th 0.167 0.000 0.000
Cl 0.166 0.333 0.667
```

Number 1: calculated total energy -4.895 eV/atom. Number 2: calculated total energy -3.796 eV/atom. Number 3: calculated total energy -3.650 eV/atom. Number 4: calculated total energy -3.771 eV/atom. Number 5: calculated total energy -3.841 eV/atom. Number 6: calculated total energy -3.705 eV/atom. Number 7: calculated total energy -4.357 eV/atom. Number 8: calculated total energy -5.648 eV/atom.